The following is a PBE-GGA calculation of an optimized crystal structure of MgGaPd4, from Alexandria via LeMat-Bulk.

abc: 8.9545 8.9545 5.4454
angles: 90.00 90.00 150.57
With the nearest neighbours (Å) after each atom.
Atoms (fractional coordinates):
Mg (0.1495, 0.8505, 0.5000)  10 Pd 2.72-2.89
Mg (0.8505, 0.1495, 0.0000)  10 Pd 2.72-2.89
Ga (0.4198, 0.5802, 0.5005)  5 Pd 2.42-2.59
Ga (0.5802, 0.4198, 0.0005)  5 Pd 2.42-2.59
Pd (0.1511, 0.8489, 0.0001)  2 Ga 2.59, 2 Mg 2.72, 6 Pd 2.81-2.86
Pd (0.2961, 0.7039, 0.2493)  1 Ga 2.54, 7 Pd 2.71-2.84, 2 Mg 2.81
Pd (0.2962, 0.7038, 0.7516)  1 Ga 2.54, 7 Pd 2.71-2.84, 2 Mg 2.81
Pd (0.4403, 0.5597, 0.0011)  1 Ga 2.42
Pd (0.5597, 0.4403, 0.5011)  1 Ga 2.42
Pd (0.7038, 0.2962, 0.2516)  1 Ga 2.54, 7 Pd 2.71-2.84, 2 Mg 2.81
Pd (0.7039, 0.2961, 0.7493)  1 Ga 2.54, 7 Pd 2.71-2.84, 2 Mg 2.81
Pd (0.8489, 0.1511, 0.5001)  2 Ga 2.59, 2 Mg 2.72, 6 Pd 2.81-2.86

Computed properties:
Total moment in Bohr magnetons per cell: 0.00
E above lowest polymorph in eV/atom: 0.000